Entry 1:
Computed, not measured: a relaxed structure of PbI2BrO at the PBE-GGA level of DFT.

Cell: 6.3450 6.3450 3.8626 Å, 90.00 90.00 90.00°
Last column: nearest neighbours and their distance in Å.
Positions (direct):
O1 0.0000 0.0000 0.5000  2 Br 1.93
Br1 0.0000 0.0000 0.0000  2 O 1.93
I1 0.0000 0.5000 0.0000  2 Br 3.17
I2 0.5000 0.0000 0.0000  2 Br 3.17
Pb1 0.5000 0.5000 0.5000  8 I 3.71, 2 Pb 3.86

Output
The calculation puts the total magnetization at 0.0 μB per cell. The value obtained for the uncorrected formation energy is 124 kJ/mol of formula units. Its excess energy over the best structure of this formula in the dataset is 226.7 meV/atom.

Entry 2:
Computed, not measured: a relaxed structure of Li7TlAg5 at the PBE-GGA level of DFT.

Cell: 5.5515 7.1963 7.1963 Å, 83.32 67.31 67.31°
Last column: nearest neighbours and their distance in Å.
Positions (direct):
Ag1 0.0253 0.4697 0.9845  6 Li 2.70-2.89, 3 Ag 2.75-2.85
Li1 0.0211 0.2796 0.6782  5 Ag 2.73-2.74, 1 Li 2.91, 1 Tl 3.01
Ag2 0.5205 0.9845 0.4697  6 Li 2.70-2.89, 3 Ag 2.75-2.85
Li2 0.5332 0.8136 0.1199  5 Ag 2.80-2.92, 4 Li 2.92-3.12
Ag3 0.0253 0.9845 0.4697  6 Li 2.70-2.89, 3 Ag 2.75-2.85
Li3 0.5745 0.4255 0.4255  9 Li 3.14-3.40, 1 Tl 3.23, 4 Ag 3.27
Ag4 0.8070 0.6930 0.6930  6 Li 2.74-2.92, 4 Ag 2.85
Li4 0.2595 0.2405 0.2405  4 Ag 2.70, 4 Li 2.91-2.92
Tl1 0.9247 0.0753 0.0753  5 Li 2.85-3.17, 4 Ag 3.05
Li5 0.0211 0.6782 0.2796  5 Ag 2.73-2.74, 1 Li 2.91, 1 Tl 3.01
Li6 0.5332 0.1199 0.8136  5 Ag 2.80-2.92, 4 Li 2.92-3.12
Li7 0.2338 0.7662 0.7662  6 Ag 2.84-2.86, 1 Tl 2.85, 1 Li 3.14
Ag5 0.5205 0.4697 0.9845  6 Li 2.70-2.89, 3 Ag 2.75-2.85

Output
The calculation puts the total magnetization at 0.0 μB per cell. The raw total energy comes out at -31.936 eV per formula unit.

Entry 3:
Computed, not measured: a relaxed structure of La2Cd16Au at the PBE-GGA level of DFT.

Cell: 7.6884 7.6884 7.6884 Å, 82.32 82.32 82.32°
Last column: nearest neighbours and their distance in Å.
Positions (direct):
Cd1 0.5028 0.0013 0.0013  9 Cd 2.92-3.15, 1 Au 3.01
Cd2 0.0013 0.0013 0.5028  9 Cd 2.92-3.15, 1 Au 3.01
Cd3 0.0013 0.5028 0.0013  9 Cd 2.92-3.15, 1 Au 3.01
Cd4 0.6439 0.6439 0.1596  8 Cd 2.87-3.18, 1 Au 3.19
Cd5 0.6439 0.1596 0.6439  8 Cd 2.87-3.18, 1 Au 3.19
Cd6 0.3607 0.8389 0.3607  8 Cd 2.87-3.20
Cd7 0.1596 0.6439 0.6439  8 Cd 2.87-3.18, 1 Au 3.19
Cd8 0.8389 0.3607 0.3607  8 Cd 2.87-3.20
La1 0.3335 0.3335 0.3335  19 Cd 3.58-3.95
Cd9 0.7044 0.0004 0.2976  8 Cd 2.92-3.20
Cd10 0.2976 0.7044 0.0004  8 Cd 2.92-3.20
La2 0.6715 0.6715 0.6715  1 Au 3.21, 6 Cd 3.57
Au1 0.8854 0.8854 0.8854  7 Cd 3.01-3.19, 1 La 3.21
Cd11 0.2976 0.0004 0.7044  8 Cd 2.92-3.20
Cd12 0.0916 0.0916 0.0916  1 Au 3.09, 12 Cd 3.15-3.37
Cd13 0.7044 0.2976 0.0004  8 Cd 2.92-3.20
Cd14 0.3607 0.3607 0.8389  8 Cd 2.87-3.20
Cd15 0.0004 0.2976 0.7044  8 Cd 2.92-3.20
Cd16 0.0004 0.7044 0.2976  8 Cd 2.92-3.20

Output
The calculation puts the total magnetization at 0.0 μB per cell. The raw total energy comes out at -31.628 eV per formula unit.

Entry 4:
Computed, not measured: a relaxed structure of Cu7PbO12 at the PBE-GGA level of DFT.

Cell: 6.3726 6.3726 6.3726 Å, 109.47 109.47 109.47°
Last column: nearest neighbours and their distance in Å.
Positions (direct):
O1 0.4804 0.3094 0.1710  3 Cu 1.88-1.98
O2 0.5196 0.6906 0.8290  3 Cu 1.88-1.98
Cu1 0.5000 0.0000 0.0000  6 O 1.98
O3 0.1710 0.4804 0.3094  3 Cu 1.88-1.98
O4 0.8616 0.6906 0.1710  3 Cu 1.88-1.98
Cu2 0.5000 0.0000 0.5000  4 O 1.88
O5 0.6906 0.1710 0.8616  3 Cu 1.88-1.98
O6 0.8290 0.1384 0.3094  3 Cu 1.88-1.98
O7 0.1710 0.8616 0.6906  3 Cu 1.88-1.98
Cu3 0.5000 0.5000 0.0000  4 O 1.88
Cu4 0.0000 0.0000 0.5000  6 O 1.98
O8 0.3094 0.8290 0.1384  3 Cu 1.88-1.98
Cu5 0.0000 0.5000 0.0000  6 O 1.98
O9 0.6906 0.8290 0.5196  3 Cu 1.88-1.98
Pb1 0.0000 0.0000 0.0000  12 O 2.60
Cu6 0.5000 0.5000 0.5000  6 O 1.98
O10 0.3094 0.1710 0.4804  3 Cu 1.88-1.98
Cu7 0.0000 0.5000 0.5000  4 O 1.88
O11 0.8290 0.5196 0.6906  3 Cu 1.88-1.98
O12 0.1384 0.3094 0.8290  3 Cu 1.88-1.98

Output
The calculation puts the total magnetization at 0.0 μB per cell. The value obtained for the uncorrected formation energy is -904 kJ/mol of formula units.

Please write out number 3 again, unchanged.
Computed, not measured: a relaxed structure of La2Cd16Au at the PBE-GGA level of DFT.

Cell: 7.6884 7.6884 7.6884 Å, 82.32 82.32 82.32°
Last column: nearest neighbours and their distance in Å.
Positions (direct):
Cd1 0.5028 0.0013 0.0013  9 Cd 2.92-3.15, 1 Au 3.01
Cd2 0.0013 0.0013 0.5028  9 Cd 2.92-3.15, 1 Au 3.01
Cd3 0.0013 0.5028 0.0013  9 Cd 2.92-3.15, 1 Au 3.01
Cd4 0.6439 0.6439 0.1596  8 Cd 2.87-3.18, 1 Au 3.19
Cd5 0.6439 0.1596 0.6439  8 Cd 2.87-3.18, 1 Au 3.19
Cd6 0.3607 0.8389 0.3607  8 Cd 2.87-3.20
Cd7 0.1596 0.6439 0.6439  8 Cd 2.87-3.18, 1 Au 3.19
Cd8 0.8389 0.3607 0.3607  8 Cd 2.87-3.20
La1 0.3335 0.3335 0.3335  19 Cd 3.58-3.95
Cd9 0.7044 0.0004 0.2976  8 Cd 2.92-3.20
Cd10 0.2976 0.7044 0.0004  8 Cd 2.92-3.20
La2 0.6715 0.6715 0.6715  1 Au 3.21, 6 Cd 3.57
Au1 0.8854 0.8854 0.8854  7 Cd 3.01-3.19, 1 La 3.21
Cd11 0.2976 0.0004 0.7044  8 Cd 2.92-3.20
Cd12 0.0916 0.0916 0.0916  1 Au 3.09, 12 Cd 3.15-3.37
Cd13 0.7044 0.2976 0.0004  8 Cd 2.92-3.20
Cd14 0.3607 0.3607 0.8389  8 Cd 2.87-3.20
Cd15 0.0004 0.2976 0.7044  8 Cd 2.92-3.20
Cd16 0.0004 0.7044 0.2976  8 Cd 2.92-3.20

Output
The calculation puts the total magnetization at 0.0 μB per cell. The raw total energy comes out at -31.628 eV per formula unit.